Entry from OQMD: crystalline ThTcPd at its relaxed geometry (GGA-PBE).

Total magnetic moment in μB per cell: 1.4
DFT formation energy in kJ/mol of atoms: 23.5

The structure in POSCAR format:
```
ThTcPd
1.0
0.0000 3.2585 3.2585
3.2585 0.0000 3.2585
3.2585 3.2585 0.0000
Pd Tc Th
1 1 1
direct
0.0000 0.0000 0.0000
0.2500 0.2500 0.2500
0.7500 0.7500 0.7500
```


Entry from OQMD: crystalline TlTc2Pd at its relaxed geometry (GGA-PBE).

Energy in eV/cell: -26.22
Total magnetic moment in μB per cell: 1.1

The structure in POSCAR format:
```
TlTc2Pd
1.0
-4.0910 0.6345 1.9057
-1.1092 4.0757 1.7114
-3.1155 2.5811 -2.0979
Pd Tc Tl
1 2 1
direct
0.2500 0.2500 0.2500
0.0000 0.0000 0.0000
0.7500 0.7500 0.7500
0.5000 0.5000 0.5000
```


Entry from OQMD: crystalline TlTcPd2 at its relaxed geometry (GGA-PBE).

Energy in eV/cell: -21.89
Total magnetic moment in μB per cell: 2.0

The structure in POSCAR format:
```
TlTcPd2
1.0
0.0000 3.2342 3.2342
3.2342 0.0000 3.2342
3.2342 3.2342 0.0000
Pd Tc Tl
2 1 1
direct
0.0000 0.0000 0.0000
0.7500 0.7500 0.7500
0.2500 0.2500 0.2500
0.5000 0.5000 0.5000
```


Entry from OQMD: crystalline TmTcPd at its relaxed geometry (GGA-PBE).

Total magnetic moment in μB per cell: 2.3
DFT formation energy in kJ/mol of atoms: 22.5

The structure in POSCAR format:
```
TmTcPd
1.0
0.0000 3.1889 3.1889
3.1889 0.0000 3.1889
3.1889 3.1889 0.0000
Pd Tc Tm
1 1 1
direct
0.0000 0.0000 0.0000
0.2500 0.2500 0.2500
0.7500 0.7500 0.7500
```


Entry from OQMD: crystalline TmTcPd at its relaxed geometry (GGA-PBE).

Total magnetic moment in μB per cell: 2.3
DFT formation energy in kJ/mol of atoms: 62.1

The structure in POSCAR format:
```
TmTcPd
1.0
0.0000 3.1872 3.1872
3.1872 0.0000 3.1872
3.1872 3.1872 0.0000
Pd Tc Tm
1 1 1
direct
0.2500 0.2500 0.2500
0.7500 0.7500 0.7500
0.0000 0.0000 0.0000
```


Entry from OQMD: crystalline UTcPd at its relaxed geometry (GGA-PBE).

Total magnetic moment in μB per cell: 0.9
DFT formation energy in kJ/mol of atoms: 36.4

The structure in POSCAR format:
```
UTcPd
1.0
0.0000 3.1348 3.1348
3.1348 0.0000 3.1348
3.1348 3.1348 0.0000
Pd Tc U
1 1 1
direct
0.2500 0.2500 0.2500
0.7500 0.7500 0.7500
0.0000 0.0000 0.0000
```


Entry from OQMD: crystalline UTcPd at its relaxed geometry (GGA-PBE).

Total magnetic moment in μB per cell: 0.5
DFT formation energy in kJ/mol of atoms: 50.5

The structure in POSCAR format:
```
UTcPd
1.0
0.4086 -3.0513 3.1977
2.1797 0.9825 3.7398
-2.2284 0.4663 3.8104
Pd Tc U
1 1 1
direct
0.0000 0.0000 0.0000
0.2500 0.2500 0.2500
0.7500 0.7500 0.7500
```


Entry from OQMD: crystalline TcPdW at its relaxed geometry (GGA-PBE).

Total magnetic moment in μB per cell: 0.0
DFT formation energy in kJ/mol of atoms: 58.0

The structure in POSCAR format:
```
TcPdW
1.0
-3.0816 -1.5098 2.4839
-3.0947 -2.3656 -1.6649
-0.1916 -4.1445 0.8556
Pd Tc W
1 1 1
direct
0.2500 0.2500 0.2500
0.7500 0.7500 0.7500
0.0000 0.0000 0.0000
```


Entry from OQMD: crystalline TcPdW2 at its relaxed geometry (GGA-PBE).

Total magnetic moment in μB per cell: 0.0
DFT formation energy in kJ/mol of atoms: 28.3

The structure in POSCAR format:
```
TcPdW2
1.0
-2.9812 -3.2171 -0.7654
-3.5949 0.8424 -2.4880
-0.3606 -1.7796 -4.0653
Pd Tc W
1 1 2
direct
0.0000 0.0000 0.0000
0.2500 0.2500 0.2500
0.5000 0.5000 0.5000
0.7500 0.7500 0.7500
```


Entry from OQMD: crystalline ZrTcPd at its relaxed geometry (GGA-PBE).

Total magnetic moment in μB per cell: 1.3
DFT formation energy in kJ/mol of atoms: 35.5

The structure in POSCAR format:
```
ZrTcPd
1.0
-0.6147 1.3255 4.1342
-3.7738 1.9134 1.1508
-2.8357 -2.1229 2.5843
Pd Tc Zr
1 1 1
direct
0.0000 0.0000 0.0000
0.2500 0.2500 0.2500
0.7500 0.7500 0.7500
```


Entry from OQMD: crystalline ZrTcPd2 at its relaxed geometry (GGA-PBE).

Total magnetic moment in μB per cell: 2.2
DFT formation energy in kJ/mol of atoms: -15.7

The structure in POSCAR format:
```
ZrTcPd2
1.0
0.0000 3.2091 3.2091
3.2091 0.0000 3.2091
3.2091 3.2091 0.0000
Pd Tc Zr
2 1 1
direct
0.2500 0.2500 0.2500
0.5000 0.5000 0.5000
0.0000 0.0000 0.0000
0.7500 0.7500 0.7500
```


Entry from OQMD: crystalline TePd7 at its relaxed geometry (GGA-PBE).

Energy in eV/cell: -78.30

The structure in POSCAR format:
```
TePd7
1.0
2.9046 0.0000 0.0000
0.0000 2.9046 0.0000
0.0000 0.0000 41.4887
Pd Te
14 2
direct
0.0000 0.0000 0.2110
0.5000 0.5000 0.2576
0.0000 0.0000 0.3021
0.5000 0.5000 0.3461
0.0000 0.0000 0.3902
0.5000 0.5000 0.4341
0.0000 0.0000 0.4780
0.5000 0.5000 0.5220
0.0000 0.0000 0.5659
0.5000 0.5000 0.6099
0.0000 0.0000 0.6539
0.5000 0.5000 0.6979
0.0000 0.0000 0.7424
0.5000 0.5000 0.7890
0.5000 0.5000 0.1629
0.0000 0.0000 0.8371
```


Entry from OQMD: crystalline TePd10 at its relaxed geometry (GGA-PBE).

Energy in eV/cell: -111.59

The structure in POSCAR format:
```
TePd10
1.0
4.3789 -1.9679 0.0000
4.3789 1.9679 0.0000
-0.0662 0.0000 33.1890
Pd Te
20 2
direct
0.1478 0.1478 0.2425
0.4516 0.4516 0.2723
0.7488 0.7488 0.3015
0.0505 0.0505 0.3268
0.3522 0.3522 0.3543
0.6536 0.6536 0.3809
0.9542 0.9542 0.4071
0.2528 0.2528 0.4340
0.5511 0.5511 0.4605
0.8502 0.8502 0.4866
0.1498 0.1498 0.5134
0.4489 0.4489 0.5395
0.7472 0.7472 0.5660
0.0458 0.0458 0.5929
0.3464 0.3464 0.6191
0.6478 0.6478 0.6457
0.9495 0.9495 0.6732
0.2512 0.2512 0.6985
0.5484 0.5484 0.7277
0.8522 0.8522 0.7575
0.8450 0.8450 0.2236
0.1550 0.1550 0.7764
```